No. 1
PBE-GGA Th2Ge3Mo, optimized geometry; volume = 24.5 A^3/atom; total magnetization = 0.0 μB/f.u.; E = -0.2518 Ha/atom
1.0
-2.3268 2.9204 -1.2270
-3.8185 -2.3499 1.6481
3.8765 3.2639 6.7123
Th Ge Mo
2 3 1
Direct
0.6463 0.6463 0.2927 Th
0.3537 0.3537 0.7073 Th
0.8360 0.8360 0.6720 Ge
0.0000 0.5000 0.0000 Ge
0.1640 0.1640 0.3280 Ge
0.0000 0.0000 0.0000 Mo

=====

No. 2
PBE-GGA ThGe2Mo4, optimized geometry; volume = 19.0 A^3/atom; total magnetization = 0.0 μB/f.u.; E = -0.3214 Ha/atom
1.0
4.4309 0.0000 0.0000
0.0000 4.3661 -0.9620
0.0000 -0.7354 7.0510
Mo Ge Th
4 2 1
Direct
0.0000 0.6992 0.3983 Mo
0.5000 0.8048 0.6096 Mo
0.5000 0.1952 0.3904 Mo
0.0000 0.3008 0.6017 Mo
0.5000 0.5944 0.1887 Ge
0.5000 0.4056 0.8113 Ge
0.0000 0.0000 0.0000 Th

=====

No. 3
PBE-GGA Th4Ge8Mo, optimized geometry; volume = 22.9 A^3/atom; total magnetization = 0.0 μB/f.u.; E = -0.2372 Ha/atom
1.0
4.1183 0.0000 0.0000
0.0000 4.2181 0.0000
0.0000 0.0000 17.1274
Ge Th Mo
8 4 1
Direct
0.5000 0.5000 0.7533 Ge
0.5000 0.0000 0.5592 Ge
0.0000 0.0000 0.7525 Ge
0.5000 0.5000 0.0444 Ge
0.0000 0.5000 0.2325 Ge
0.0000 0.0000 0.4674 Ge
0.0000 0.5000 0.9461 Ge
0.5000 0.0000 0.2307 Ge
0.0000 0.0000 0.0994 Th
0.5000 0.5000 0.3927 Th
0.0000 0.5000 0.6138 Th
0.5000 0.0000 0.8916 Th
0.0000 0.0000 0.3194 Mo

=====

No. 4
PBE-GGA ThGe2Mo, optimized geometry; volume = 19.5 A^3/atom; distance to the lowest polymorph of the same formula = 0 meV/atom; total magnetization = 0.0 μB/f.u.
1.0
3.3916 0.0000 0.0000
0.0000 3.3916 0.0000
0.0000 0.0000 6.7909
Ge Mo Th
2 1 1
Direct
0.0000 0.0000 0.1984 Ge
0.0000 0.0000 0.8016 Ge
0.5000 0.5000 0.0000 Mo
0.5000 0.5000 0.5000 Th

=====

No. 5
PBE-GGA ThGe2Mo, optimized geometry; volume = 21.6 A^3/atom; distance to the lowest polymorph of the same formula = 16 meV/atom; total magnetization = 0.0 μB/f.u.
1.0
-2.0806 1.7624 2.8566
0.6400 -0.9469 3.7800
3.9631 4.8698 2.6117
Ge Mo Th
2 1 1
Direct
0.2671 0.2671 0.1986 Ge
0.7329 0.7329 0.8014 Ge
0.0000 0.0000 0.0000 Mo
0.5000 0.5000 0.5000 Th

=====

No. 6
PBE-GGA ThTiGe2Mo, optimized geometry; volume = 19.6 A^3/atom; total magnetization = 0.0 μB/f.u.; E = -0.2814 Ha/atom
1.0
4.0772 0.0000 0.0000
0.0000 4.0772 0.0000
-2.0386 -2.0386 5.8820
Th Mo Ge Ti
1 1 2 1
Direct
0.0000 0.0000 0.0000 Th
0.7500 0.2500 0.5000 Mo
0.3902 0.3902 0.7804 Ge
0.6098 0.6098 0.2196 Ge
0.2500 0.7500 0.5000 Ti

=====

No. 7
PBE-GGA ThVGe2Mo, optimized geometry; volume = 19.0 A^3/atom; total magnetization = 0.0 μB/f.u.; E = -0.2848 Ha/atom
1.0
4.0309 0.0000 0.0000
0.0000 4.0309 0.0000
-2.0154 -2.0154 5.8393
V Ge Mo Th
1 2 1 1
Direct
0.7500 0.2500 0.5000 V
0.6132 0.6132 0.2265 Ge
0.3868 0.3868 0.7735 Ge
0.2500 0.7500 0.5000 Mo
0.0000 0.0000 0.0000 Th

=====

No. 8
PBE-GGA TiGe2Mo, optimized geometry; volume = 17.0 A^3/atom; distance to the lowest polymorph of the same formula = 317 meV/atom; total magnetization = 0.0 μB/f.u.
1.0
-0.6042 -3.5490 1.2485
1.2490 1.0036 3.4571
-8.4032 1.0815 4.8219
Ti Ge Mo
2 4 2
Direct
0.5000 0.5000 0.0000 Ti
0.2500 0.7500 0.5000 Ti
0.1313 0.6250 0.2500 Ge
0.3750 0.3813 0.7500 Ge
0.6187 0.1250 0.2500 Ge
0.8750 0.8687 0.7500 Ge
0.7500 0.2500 0.5000 Mo
0.0000 0.0000 0.0000 Mo

=====

No. 9
PBE-GGA Ti8Ge2Mo, optimized geometry; volume = 16.8 A^3/atom; total magnetization = 0.0 μB/f.u.; E = -0.2877 Ha/atom
1.0
3.9790 0.0000 0.0000
0.0000 6.8229 -0.0428
-1.9895 -2.9710 6.8191
Ge Ti Mo
2 8 1
Direct
0.8065 0.3284 0.6130 Ge
0.1935 0.6716 0.3870 Ge
0.9645 0.2034 0.9289 Ti
0.1763 0.2681 0.3526 Ti
0.6746 0.9245 0.3492 Ti
0.0355 0.7966 0.0711 Ti
0.3254 0.0755 0.6508 Ti
0.4155 0.5456 0.8310 Ti
0.5845 0.4544 0.1690 Ti
0.8237 0.7319 0.6474 Ti
0.5000 0.0000 0.0000 Mo

=====

No. 10
PBE-GGA Ti5Ge5Mo, optimized geometry; volume = 18.2 A^3/atom; total magnetization = 0.0 μB/f.u.; E = -0.2508 Ha/atom
1.0
-1.9997 -4.6022 1.0011
5.7987 -0.1719 -2.2840
0.4811 1.3514 7.1739
Ge Mo Ti
5 1 5
Direct
0.1694 0.3389 0.8377 Ge
0.8319 0.6639 0.6649 Ge
0.8306 0.6611 0.1623 Ge
0.5000 0.0000 0.0000 Ge
0.1681 0.3361 0.3351 Ge
0.0000 0.0000 0.0000 Mo
0.3281 0.6563 0.6685 Ti
0.6719 0.3437 0.3315 Ti
0.3383 0.6765 0.1719 Ti
0.6617 0.3235 0.8281 Ti
0.0000 0.0000 0.5000 Ti

=====

No. 11
PBE-GGA Ti5GeMo2, optimized geometry; volume = 16.8 A^3/atom; total magnetization = 0.0 μB/f.u.; E = -0.3037 Ha/atom
1.0
6.6766 0.0000 0.0000
0.0000 6.6766 0.0000
-3.3383 -3.3383 6.0213
Mo Ti Ge
4 10 2
Direct
0.6562 0.1562 0.0000 Mo
0.8438 0.6562 0.0000 Mo
0.3438 0.8438 0.0000 Mo
0.1562 0.3438 0.0000 Mo
0.3123 0.8123 0.3145 Ti
0.4979 0.6877 0.6855 Ti
0.9979 0.4979 0.6855 Ti
0.0021 0.5021 0.3145 Ti
0.0000 0.0000 0.0000 Ti
0.5021 0.3123 0.3145 Ti
0.8123 0.0021 0.3145 Ti
0.5000 0.5000 0.0000 Ti
0.6877 0.1877 0.6855 Ti
0.1877 0.9979 0.6855 Ti
0.2500 0.2500 0.5000 Ge
0.7500 0.7500 0.5000 Ge

=====

No. 12
PBE-GGA Ti2Ge4Mo, optimized geometry; volume = 20.9 A^3/atom; total magnetization = 0.6 μB/f.u.; E = -0.2279 Ha/atom
1.0
4.7903 0.0000 0.0000
0.0000 4.7903 0.0000
2.3952 2.3952 6.3820
Ti Ge Mo
2 4 1
Direct
0.6005 0.6005 0.7990 Ti
0.3995 0.3995 0.2010 Ti
0.8004 0.8004 0.3991 Ge
0.0000 0.5000 0.0000 Ge
0.1996 0.1996 0.6009 Ge
0.5000 0.0000 0.0000 Ge
0.0000 0.0000 0.0000 Mo

=====

Q: Look up the total magnetization of the sixth one.
A: 0.0 μB/f.u.

=====

Q: volume of number 10 (Ti5Ge5Mo)?
A: 18.2 A^3/atom

=====

Q: Among the records above, which one has the highest volume?
A: Th2Ge3Mo

=====

Q: Number 10 is which compound?
A: Ti5Ge5Mo